[1]
# LiSbTe2Cl GGA-PBE optimized geometry
# ΔE_f (raw)   0.419 eV/atom
# Theoretical density   4.2 Mg/m³
# Total DFT energy (no corrections)   -2.414 eV per atom
# Energy above the most stable polymorph in this dataset   0.272 eV per atom
# Size of the total moment   0.4 μB per cell
data_LiSbTe2Cl
_symmetry_space_group_name_H-M 'P 4/m m m'
_symmetry_Int_Tables_number 123
_symmetry_space_group_name_Hall '-P 4 2'
_cell_length_a 5.678
_cell_length_b 5.678
_cell_length_c 5.177
_cell_angle_alpha 90.00
_cell_angle_beta 90.00
_cell_angle_gamma 90.00
loop_
_atom_site_label
_atom_site_fract_x
_atom_site_fract_y
_atom_site_fract_z
Li1 0.000 0.000 0.000
Sb1 0.500 0.500 0.000
Te1 0.000 0.500 0.500
Cl1 0.500 0.500 0.500

[2]
# Ba2BeIn GGA-PBE optimized geometry
# Theoretical density   5.0 Mg/m³
# Total DFT energy (no corrections)   -2.288 eV per atom
# Energy above the most stable polymorph in this dataset   0.235 eV per atom
# Size of the total moment   0.0 μB per cell
data_Ba2BeIn
_symmetry_space_group_name_H-M 'I -4 m 2'
_symmetry_Int_Tables_number 119
_symmetry_space_group_name_Hall 'I -4 -2'
_cell_length_a 5.152
_cell_length_b 5.152
_cell_length_c 9.988
_cell_angle_alpha 90.00
_cell_angle_beta 90.00
_cell_angle_gamma 90.00
loop_
_atom_site_label
_atom_site_fract_x
_atom_site_fract_y
_atom_site_fract_z
Ba1 0.000 0.000 0.000
Ba2 0.000 0.500 0.250
Be1 0.000 0.500 0.750
In1 0.000 0.000 0.500

[3]
# La3Pr4PuTe8 GGA-PBE optimized geometry
# ΔE_f (raw)   -1.461 eV/atom
# Theoretical density   7.0 Mg/m³
# Total DFT energy (no corrections)   -6.046 eV per atom
# Size of the total moment   17.9 μB per cell
data_La3Pr4PuTe8
_symmetry_space_group_name_H-M 'R -3 m'
_symmetry_Int_Tables_number 166
_symmetry_space_group_name_Hall '-R 3 2"'
_cell_length_a 9.0922
_cell_length_b 9.0922
_cell_length_c 22.1955
_cell_angle_alpha 90.00
_cell_angle_beta 90.00
_cell_angle_gamma 120.00
loop_
_atom_site_label
_atom_site_fract_x
_atom_site_fract_y
_atom_site_fract_z
La1 0.0000 0.5000 0.0000
Pr1 0.0000 0.0000 0.5000
Pr2 0.0000 0.5000 0.5000
Pu1 0.0000 0.0000 0.0000
Te1 0.0000 0.0000 0.2493
Te2 0.0050 0.5025 0.7495